[1]
# LiTaAl3 (PBE-GGA, optimized geometry)
data_LiTaAl3
_cell_length_a 4.295
_cell_length_b 4.295
_cell_length_c 4.295
_cell_angle_alpha 90.00
_cell_angle_beta 90.00
_cell_angle_gamma 90.00
_symmetry_space_group_name_H-M 'P m -3 m'
_symmetry_Int_Tables_number 221
_symmetry_space_group_name_Hall '-P 4 2 3'
loop_
_atom_site_label
_atom_site_fract_x
_atom_site_fract_y
_atom_site_fract_z
Li1 0.000 0.000 0.000
Ta1 0.500 0.500 0.500
Al1 0.000 0.000 0.500
# **Relative energy among the computed polymorphs**: 0.008 eV/atom
# **Formation energy**: 0.6709 eV/atom



[2]
# KTaHg (PBE-GGA, optimized geometry)
data_KTaHg
_cell_length_a 5.3816
_cell_length_b 5.3816
_cell_length_c 2.9551
_cell_angle_alpha 90.00
_cell_angle_beta 90.00
_cell_angle_gamma 120.00
_symmetry_space_group_name_H-M 'P -6 m 2'
_symmetry_Int_Tables_number 187
_symmetry_space_group_name_Hall 'P -6 2'
loop_
_atom_site_label
_atom_site_fract_x
_atom_site_fract_y
_atom_site_fract_z
K1 0.0000 0.0000 0.0000
Ta1 0.6667 0.3333 0.5000
Hg1 0.3333 0.6667 0.5000
# **Relative energy among the computed polymorphs**: 0.830 eV/atom
# **Formation energy**: 1.1179 eV/atom



[3]
# Ti6CoBi (PBE-GGA, optimized geometry)
data_Ti6CoBi
_cell_length_a 8.8282
_cell_length_b 8.8282
_cell_length_c 6.5115
_cell_angle_alpha 90.00
_cell_angle_beta 90.00
_cell_angle_gamma 120.00
_symmetry_space_group_name_H-M 'R -3 m'
_symmetry_Int_Tables_number 166
_symmetry_space_group_name_Hall '-R 3 2"'
loop_
_atom_site_label
_atom_site_fract_x
_atom_site_fract_y
_atom_site_fract_z
Ti1 0.0498 0.5249 0.3011
Co1 0.0000 0.0000 0.5000
Bi1 0.0000 0.0000 0.0000
# **Formation energy**: 0.1063 eV/atom



[4]
# NiOs2 (PBE-GGA, optimized geometry)
data_NiOs2
_cell_length_a 4.582
_cell_length_b 7.964
_cell_length_c 4.652
_cell_angle_alpha 90.00
_cell_angle_beta 109.52
_cell_angle_gamma 90.00
_symmetry_space_group_name_H-M 'C 1 2/c 1'
_symmetry_Int_Tables_number 15
loop_
_symmetry_equiv_pos_as_xyz
'x,y,z'
'-x,-y,-z'
'-x,y,-z+1/2'
'x,-y,z+1/2'
'x+1/2,y+1/2,z'
'-x+1/2,-y+1/2,-z'
'-x+1/2,y+1/2,-z+1/2'
'x+1/2,-y+1/2,z+1/2'
loop_
_atom_site_label
_atom_site_fract_x
_atom_site_fract_y
_atom_site_fract_z
Ni1 0.000 0.080 0.250
Os1 0.000 0.256 0.750
Os2 0.000 0.410 0.250
# **Relative energy among the computed polymorphs**: 0.069 eV/atom
# **Formation energy**: 0.1079 eV/atom



[5]
# MgTiAlOs (PBE-GGA, optimized geometry)
data_MgTiAlOs
_cell_length_a 6.264
_cell_length_b 6.264
_cell_length_c 6.264
_cell_angle_alpha 90.00
_cell_angle_beta 90.00
_cell_angle_gamma 90.00
_symmetry_space_group_name_H-M 'F -4 3 m'
_symmetry_Int_Tables_number 216
_symmetry_space_group_name_Hall 'F -4 2 3'
loop_
_atom_site_label
_atom_site_fract_x
_atom_site_fract_y
_atom_site_fract_z
Mg1 0.000 0.000 0.000
Ti1 0.250 0.250 0.250
Al1 0.250 0.250 0.750
Os1 0.000 0.000 0.500
# **Formation energy**: -0.3315 eV/atom



[6]
# B2C (PBE-GGA, optimized geometry)
data_B2C
_cell_length_a 3.868
_cell_length_b 3.991
_cell_length_c 5.921
_cell_angle_alpha 88.79
_cell_angle_beta 79.25
_cell_angle_gamma 89.66
_symmetry_space_group_name_H-M 'P 1'
_symmetry_Int_Tables_number 1
loop_
_symmetry_equiv_pos_as_xyz
'x,y,z'
loop_
_atom_site_label
_atom_site_fract_x
_atom_site_fract_y
_atom_site_fract_z
B1 0.000 0.000 0.000
B2 0.009 0.395 0.171
B3 0.055 0.241 0.451
B4 0.267 0.703 0.023
B5 0.347 0.070 0.204
B6 0.439 0.846 0.460
B7 0.493 0.326 0.681
B8 0.905 0.748 0.740
C1 0.215 0.535 0.573
C2 0.592 0.507 0.896
C3 0.697 0.269 0.074
C4 0.724 0.020 0.577
# **Relative energy among the computed polymorphs**: 0.164 eV/atom
# **Formation energy**: 0.3489 eV/atom



[7]
# CaNi2W (PBE-GGA, optimized geometry)
data_CaNi2W
_cell_length_a 2.8597
_cell_length_b 2.8597
_cell_length_c 26.7641
_cell_angle_alpha 90.00
_cell_angle_beta 90.00
_cell_angle_gamma 120.00
_symmetry_space_group_name_H-M 'R 3 m'
_symmetry_Int_Tables_number 160
_symmetry_space_group_name_Hall 'R 3 -2"'
loop_
_atom_site_label
_atom_site_fract_x
_atom_site_fract_y
_atom_site_fract_z
Ca1 0.0000 0.0000 0.0000
Ni1 0.0000 0.0000 0.4901
Ni2 0.0000 0.0000 0.7518
W1 0.0000 0.0000 0.2301
# **Relative energy among the computed polymorphs**: 0.452 eV/atom
# **Formation energy**: 0.6085 eV/atom



[8]
# Ho2BeHPt6 (PBE-GGA, optimized geometry)
data_Ho2BeHPt6
_cell_length_a 5.690
_cell_length_b 5.697
_cell_length_c 6.499
_cell_angle_alpha 64.15
_cell_angle_beta 64.44
_cell_angle_gamma 60.08
_symmetry_space_group_name_H-M 'P -1'
_symmetry_Int_Tables_number 2
loop_
_symmetry_equiv_pos_as_xyz
'x,y,z'
'-x,-y,-z'
loop_
_atom_site_label
_atom_site_fract_x
_atom_site_fract_y
_atom_site_fract_z
Ho1 0.225 0.225 0.327
Be1 0.500 0.500 0.500
H1 0.000 0.000 0.000
Pt1 0.238 0.731 0.792
Pt2 0.239 0.238 0.791
Pt3 0.267 0.762 0.210
# **Raw total energy**: -6.114 eV per atom